Entry 1:
# PBE BeZn2Cu4Ni, relaxed
# - spin magnetization (Bohr magnetons per cell) = 0.0
data_BeZn2Cu4Ni
_space_group_name_H-M_alt 'P 4/m m m'
_space_group_IT_number 123
_space_group_name_Hall '-P 4 2'
_cell_length_a 3.9748
_cell_length_b 3.9748
_cell_length_c 5.8864
_cell_angle_alpha 90.00
_cell_angle_beta 90.00
_cell_angle_gamma 90.00
loop_
_atom_site_label
_atom_site_fract_x
_atom_site_fract_y
_atom_site_fract_z
Be1 0.0000 0.0000 0.0000
Zn1 0.0000 0.0000 0.5000
Zn2 0.5000 0.5000 0.0000
Cu1 0.0000 0.5000 0.2392
Ni1 0.5000 0.5000 0.5000

Entry 2:
VASP calculation (PBE) on a geometry-optimized ZnIn2Sn structure.

```
data_ZnIn2Sn
_space_group_name_H-M_alt 'F -4 3 m'
_space_group_IT_number 216
_space_group_name_Hall 'F -4 2 3'
_cell_length_a 7.3684
_cell_length_b 7.3684
_cell_length_c 7.3684
_cell_angle_alpha 90.00
_cell_angle_beta 90.00
_cell_angle_gamma 90.00
loop_
_atom_site_label
_atom_site_fract_x
_atom_site_fract_y
_atom_site_fract_z
Zn1 0.0000 0.0000 0.0000
In1 0.0000 0.0000 0.5000
In2 0.2500 0.2500 0.2500
Sn1 0.2500 0.2500 0.7500
```

Entry 3:
# PBE SmTeAuO, relaxed
# - spin magnetization (Bohr magnetons per cell) = 0.0
data_SmTeAuO
_space_group_name_H-M_alt 'A e a 2'
_space_group_IT_number 41
_cell_length_a 20.7137
_cell_length_b 5.8004
_cell_length_c 5.8264
_cell_angle_alpha 90.00
_cell_angle_beta 90.00
_cell_angle_gamma 90.00
loop_
_space_group_symop_operation_xyz
'x,y,z'
'-x,-y,z'
'-x+1/2,y+1/2,z'
'x+1/2,-y+1/2,z'
'x,y+1/2,z+1/2'
'-x,-y+1/2,z+1/2'
'-x+1/2,y,z+1/2'
'x+1/2,-y,z+1/2'
loop_
_atom_site_label
_atom_site_fract_x
_atom_site_fract_y
_atom_site_fract_z
Sm1 0.0540 0.2498 0.0000
Te1 0.1404 0.2486 0.5003
Au1 0.2498 0.4975 0.0036
O1 0.0000 0.0000 0.2501
O2 0.0000 0.0000 0.7500

Entry 4:
VASP calculation (PBE) on a geometry-optimized CuH5N2Cl3 structure.

```
data_CuH5N2Cl3
_space_group_name_H-M_alt 'P n m a'
_space_group_IT_number 62
_cell_length_a 14.4473
_cell_length_b 5.6756
_cell_length_c 6.7630
_cell_angle_alpha 90.00
_cell_angle_beta 90.00
_cell_angle_gamma 90.00
loop_
_space_group_symop_operation_xyz
'x,y,z'
'-x,-y,-z'
'-x+1/2,-y,z+1/2'
'x+1/2,y,-z+1/2'
'x+1/2,-y+1/2,-z+1/2'
'-x+1/2,y+1/2,z+1/2'
'-x,y+1/2,-z'
'x,-y+1/2,z'
loop_
_atom_site_label
_atom_site_fract_x
_atom_site_fract_y
_atom_site_fract_z
Cu1 0.0453 0.2500 0.1482
H1 0.0697 0.6016 0.5828
H2 0.1682 0.5989 0.8515
H3 0.2158 0.7500 0.6575
N1 0.0716 0.7500 0.6723
N2 0.1619 0.7500 0.7636
Cl1 0.0417 0.7500 0.1373
Cl2 0.1263 0.2500 0.4406
Cl3 0.1793 0.2500 0.9592
```

Entry 5:
# PBE ScGa2HgBr6, relaxed
# - spin magnetization (Bohr magnetons per cell) = 0.0
data_ScGa2HgBr6
_space_group_name_H-M_alt 'F m -3 m'
_space_group_IT_number 225
_space_group_name_Hall '-F 4 2 3'
_cell_length_a 11.2028
_cell_length_b 11.2028
_cell_length_c 11.2028
_cell_angle_alpha 90.00
_cell_angle_beta 90.00
_cell_angle_gamma 90.00
loop_
_atom_site_label
_atom_site_fract_x
_atom_site_fract_y
_atom_site_fract_z
Sc1 0.0000 0.0000 0.0000
Ga1 0.2500 0.2500 0.2500
Hg1 0.0000 0.0000 0.5000
Br1 0.0000 0.0000 0.2364

Entry 6:
# PBE PaAlAs, relaxed
# - spin magnetization (Bohr magnetons per cell) = 0.0
data_PaAlAs
_space_group_name_H-M_alt 'C m c 21'
_space_group_IT_number 36
_cell_length_a 3.4722
_cell_length_b 15.5735
_cell_length_c 5.6227
_cell_angle_alpha 90.00
_cell_angle_beta 90.00
_cell_angle_gamma 90.00
loop_
_space_group_symop_operation_xyz
'x,y,z'
'-x,-y,z+1/2'
'-x,y,z'
'x,-y,z+1/2'
'x+1/2,y+1/2,z'
'-x+1/2,-y+1/2,z+1/2'
'-x+1/2,y+1/2,z'
'x+1/2,-y+1/2,z+1/2'
loop_
_atom_site_label
_atom_site_fract_x
_atom_site_fract_y
_atom_site_fract_z
Pa1 0.0000 0.1781 0.0000
Al1 0.0000 0.0176 0.5116
As1 0.0000 0.1757 0.5000

Entry 7:
# PBE Pr2GdZn3Pd2Au, relaxed
# - spin magnetization (Bohr magnetons per cell) = 0.0
data_Pr2GdZn3Pd2Au
_space_group_name_H-M_alt 'A m m 2'
_space_group_IT_number 38
_cell_length_a 3.9710
_cell_length_b 12.9974
_cell_length_c 7.5061
_cell_angle_alpha 90.00
_cell_angle_beta 90.00
_cell_angle_gamma 90.00
loop_
_space_group_symop_operation_xyz
'x,y,z'
'-x,-y,z'
'-x,y,z'
'x,-y,z'
'x,y+1/2,z+1/2'
'-x,-y+1/2,z+1/2'
'-x,y+1/2,z+1/2'
'x,-y+1/2,z+1/2'
loop_
_atom_site_label
_atom_site_fract_x
_atom_site_fract_y
_atom_site_fract_z
Pr1 0.0000 0.2051 0.0000
Gd1 0.0000 0.0000 0.6127
Zn1 0.5000 0.0000 0.9486
Zn2 0.5000 0.1258 0.3340
Pd1 0.5000 0.1619 0.7020
Au1 0.0000 0.0000 0.2105

Entry 8:
VASP calculation (PBE) on a geometry-optimized KNaAsPd structure.

```
data_KNaAsPd
_space_group_name_H-M_alt 'A m m 2'
_space_group_IT_number 38
_cell_length_a 5.7534
_cell_length_b 9.4466
_cell_length_c 7.2688
_cell_angle_alpha 90.00
_cell_angle_beta 90.00
_cell_angle_gamma 90.00
loop_
_space_group_symop_operation_xyz
'x,y,z'
'-x,-y,z'
'-x,y,z'
'x,-y,z'
'x,y+1/2,z+1/2'
'-x,-y+1/2,z+1/2'
'-x,y+1/2,z+1/2'
'x,-y+1/2,z+1/2'
loop_
_atom_site_label
_atom_site_fract_x
_atom_site_fract_y
_atom_site_fract_z
K1 0.0000 0.1760 0.0000
Na1 0.5000 0.1740 0.3085
As1 0.0000 0.0000 0.3825
As2 0.5000 0.0000 0.9257
Pd1 0.2608 0.0000 0.6444
```

Entry 9:
# PBE MgScSiIr, relaxed
# - spin magnetization (Bohr magnetons per cell) = 0.0
data_MgScSiIr
_space_group_name_H-M_alt 'F -4 3 m'
_space_group_IT_number 216
_space_group_name_Hall 'F -4 2 3'
_cell_length_a 6.3105
_cell_length_b 6.3105
_cell_length_c 6.3105
_cell_angle_alpha 90.00
_cell_angle_beta 90.00
_cell_angle_gamma 90.00
loop_
_atom_site_label
_atom_site_fract_x
_atom_site_fract_y
_atom_site_fract_z
Mg1 0.0000 0.0000 0.0000
Sc1 0.2500 0.2500 0.7500
Si1 0.0000 0.0000 0.5000
Ir1 0.2500 0.2500 0.2500

Entry 10:
# PBE YCoGe2Pd, relaxed
# - spin magnetization (Bohr magnetons per cell) = 2.3
data_YCoGe2Pd
_space_group_name_H-M_alt 'I -4 m 2'
_space_group_IT_number 119
_space_group_name_Hall 'I -4 -2'
_cell_length_a 4.1112
_cell_length_b 4.1112
_cell_length_c 10.3033
_cell_angle_alpha 90.00
_cell_angle_beta 90.00
_cell_angle_gamma 90.00
loop_
_atom_site_label
_atom_site_fract_x
_atom_site_fract_y
_atom_site_fract_z
Y1 0.0000 0.0000 0.0000
Co1 0.0000 0.5000 0.2500
Ge1 0.0000 0.0000 0.3788
Pd1 0.0000 0.5000 0.7500

Entry 11:
# PBE PrHoGa, relaxed
# - spin magnetization (Bohr magnetons per cell) = 0.6
data_PrHoGa
_space_group_name_H-M_alt 'F -4 3 m'
_space_group_IT_number 216
_space_group_name_Hall 'F -4 2 3'
_cell_length_a 7.1488
_cell_length_b 7.1488
_cell_length_c 7.1488
_cell_angle_alpha 90.00
_cell_angle_beta 90.00
_cell_angle_gamma 90.00
loop_
_atom_site_label
_atom_site_fract_x
_atom_site_fract_y
_atom_site_fract_z
Pr1 0.0000 0.0000 0.0000
Ho1 0.0000 0.0000 0.5000
Ga1 0.2500 0.2500 0.7500

Entry 12:
# PBE ScBeCdAu, relaxed
# - spin magnetization (Bohr magnetons per cell) = 0.0
data_ScBeCdAu
_space_group_name_H-M_alt 'F -4 3 m'
_space_group_IT_number 216
_space_group_name_Hall 'F -4 2 3'
_cell_length_a 6.5280
_cell_length_b 6.5280
_cell_length_c 6.5280
_cell_angle_alpha 90.00
_cell_angle_beta 90.00
_cell_angle_gamma 90.00
loop_
_atom_site_label
_atom_site_fract_x
_atom_site_fract_y
_atom_site_fract_z
Sc1 0.0000 0.0000 0.0000
Be1 0.2500 0.2500 0.2500
Cd1 0.0000 0.0000 0.5000
Au1 0.2500 0.2500 0.7500

no.,uncorrected energy (eV per cell)
1,-27.023
2,-41.230
3,-185.560
4,-188.766
5,-121.077
6,-72.138
7,-75.438
8,-55.012
9,-96.959
10,-62.597
11,-52.295
12,-60.471